A geometry-optimized ZnIn2Ru structure, computed with GGA-PBE. Values from VASP.

- VASP energy (eV/atom) = -3.94
- crystal system = monoclinic

Geometry as Quantum ESPRESSO input:
```
&SYSTEM
  ibrav = 0, nat = 4, ntyp = 3
/
ATOMIC_SPECIES
Zn 65.41 Zn.upf
In 114.82 In.upf
Ru 101.07 Ru.upf
CELL_PARAMETERS angstrom
5.147 -1.598 0.000
5.147 1.598 0.000
-1.728 0.000 4.446
ATOMIC_POSITIONS crystal
Zn 0.000 0.000 0.000
In 0.554 0.554 0.551
In 0.772 0.772 0.185
Ru 0.296 0.296 0.684
```